Entry 1:
First-principles (PBE) data for a relaxed BaPr2S4 crystal, as listed in Alexandria via LeMat-Bulk.

Crystal system: orthorhombic
ρ (Mg/m³): 4.6
Offset from the most stable computed form (meV per atom): 0.0
Fermi-level density of states (states/eV per cell): 0.0
Uncorrected formation energy (eV per formula unit): -14.61

Lattice parameters (Å, degrees): 4.239 12.399 15.051 90.00 90.00 90.00
Atoms (fractional coordinates):
Pr  0.250  0.427  0.894
S  0.750  0.286  0.322
Ba  0.750  0.249  0.658
Pr  0.250  0.418  0.394
S  0.250  0.012  0.282
S  0.250  0.135  0.519
Pr  0.750  0.582  0.606
S  0.250  0.512  0.218
S  0.750  0.865  0.481
S  0.250  0.926  0.918
S  0.250  0.214  0.822
Ba  0.250  0.251  0.158
S  0.250  0.635  0.981
S  0.750  0.488  0.782
S  0.750  0.365  0.019
Pr  0.750  0.573  0.106
S  0.250  0.714  0.678
Pr  0.250  0.918  0.106
S  0.750  0.574  0.418
Pr  0.750  0.073  0.394
S  0.750  0.074  0.082
S  0.250  0.426  0.582
S  0.750  0.786  0.178
S  0.750  0.988  0.718
Pr  0.750  0.082  0.894
Ba  0.250  0.751  0.342
Ba  0.750  0.749  0.842
Pr  0.250  0.927  0.606

---

Entry 2:
First-principles (PBE) data for a relaxed BaPrScS4 crystal, as listed in Alexandria via LeMat-Bulk.

Crystal system: orthorhombic
ρ (Mg/m³): 4.1
Uncorrected formation energy (eV per formula unit): -13.29

Lattice parameters (Å, degrees): 6.853 6.952 8.328 90.00 114.29 90.00
Atoms (fractional coordinates):
S  0.934  0.250  0.869
Pr  0.118  0.250  0.236
Ba  0.393  0.250  0.787
S  0.413  0.750  0.826
S  0.066  0.750  0.131
Sc  0.752  0.250  0.503
S  0.000  0.500  0.500
S  0.000  0.000  0.500
Ba  0.607  0.750  0.213
Pr  0.882  0.750  0.764
S  0.587  0.250  0.174
S  0.500  0.500  0.500
S  0.500  0.000  0.500
Sc  0.248  0.750  0.497

---

Entry 3:
First-principles (PBE) data for a relaxed Ba3Pr3SmS8 crystal, as listed in Alexandria via LeMat-Bulk.

Crystal system: monoclinic
ρ (Mg/m³): 4.6
Fermi-level density of states (states/eV per cell): 3.8
Uncorrected formation energy (eV per formula unit): -30.73

Lattice parameters (Å, degrees): 8.399 8.393 8.763 118.60 90.01 119.99
Atoms (fractional coordinates):
S  0.741  0.482  0.723
Ba  0.000  0.500  0.000
S  0.766  0.531  0.286
S  0.765  0.020  0.286
Pr  0.500  0.500  0.500
S  0.255  0.020  0.286
Ba  0.000  0.000  0.000
Ba  0.500  0.500  0.000
Sm  0.000  0.000  0.500
S  0.745  0.980  0.714
Pr  0.500  0.000  0.500
Pr  0.000  0.500  0.500
S  0.234  0.469  0.714
S  0.259  0.518  0.277
S  0.235  0.980  0.714

---

Entry 4:
First-principles (PBE) data for a relaxed Ba2SrPrS4 crystal, as listed in Alexandria via LeMat-Bulk.

Crystal system: monoclinic
ρ (Mg/m³): 4.5
Fermi-level density of states (states/eV per cell): 3.0
Uncorrected formation energy (eV per formula unit): -16.42

Lattice parameters (Å, degrees): 4.330 7.517 7.617 109.14 90.00 90.00
Atoms (fractional coordinates):
Sr  0.000  0.000  0.000
Pr  0.500  0.500  0.000
Ba  0.500  0.000  0.500
S  0.500  0.750  0.773
S  0.000  0.735  0.225
Ba  0.000  0.500  0.500
S  0.500  0.250  0.227
S  0.000  0.265  0.775

---

Entry 5:
First-principles (PBE) data for a relaxed Ba3TbPr3S8 crystal, as listed in Alexandria via LeMat-Bulk.

Crystal system: trigonal
ρ (Mg/m³): 4.7
Fermi-level density of states (states/eV per cell): 3.7
Uncorrected formation energy (eV per formula unit): -30.81

Lattice parameters (Å, degrees): 8.376 8.370 8.756 118.53 90.02 119.98
Atoms (fractional coordinates):
Ba  0.000  0.500  0.000
S  0.749  0.980  0.712
S  0.259  0.518  0.277
S  0.232  0.980  0.712
Ba  0.000  0.000  0.000
Tb  0.000  0.000  0.500
Pr  0.500  0.000  0.500
S  0.232  0.463  0.712
Ba  0.500  0.500  0.000
S  0.741  0.482  0.723
Pr  0.000  0.500  0.500
S  0.251  0.020  0.288
S  0.768  0.020  0.288
Pr  0.500  0.500  0.500
S  0.768  0.537  0.288

---

Entry 6:
First-principles (PBE) data for a relaxed BaTb4PrS8 crystal, as listed in Alexandria via LeMat-Bulk.

Crystal system: trigonal
ρ (Mg/m³): 4.8
Fermi-level density of states (states/eV per cell): 3.7
Uncorrected formation energy (eV per formula unit): -27.48

Lattice parameters (Å, degrees): 8.281 8.281 8.376 60.37 60.37 60.00
Atoms (fractional coordinates):
Tb  0.625  0.625  0.124
S  0.801  0.239  0.722
S  0.757  0.757  0.728
Tb  0.002  0.002  0.502
S  0.239  0.801  0.722
Pr  0.002  0.002  0.995
S  0.752  0.752  0.265
S  0.232  0.752  0.265
S  0.752  0.232  0.265
S  0.239  0.239  0.722
Ba  0.373  0.373  0.881
Tb  0.002  0.495  0.502
Tb  0.495  0.002  0.502
S  0.232  0.232  0.305

---

Entry 7:
First-principles (PBE) data for a relaxed Ba2PrTlS5 crystal, as listed in Alexandria via LeMat-Bulk.

Crystal system: orthorhombic
ρ (Mg/m³): 5.0
Uncorrected formation energy (eV per formula unit): -14.04

Lattice parameters (Å, degrees): 4.246 9.529 13.048 90.00 90.00 102.87
Atoms (fractional coordinates):
S  0.640  0.280  0.502
Tl  0.457  0.913  0.447
Pr  0.788  0.576  0.516
Ba  0.867  0.734  0.813
Ba  0.116  0.232  0.685
S  0.290  0.579  0.661
S  0.710  0.421  0.161
S  0.951  0.901  0.560
S  0.049  0.099  0.060
S  0.506  0.012  0.270
S  0.683  0.366  0.869
Ba  0.884  0.768  0.185
S  0.360  0.720  0.002
Ba  0.133  0.266  0.313
Pr  0.212  0.424  0.016
Tl  0.543  0.087  0.947
S  0.494  0.988  0.770
S  0.317  0.634  0.369

---

Entry 8:
First-principles (PBE) data for a relaxed Ba2PrTlS4 crystal, as listed in Alexandria via LeMat-Bulk.

Crystal system: monoclinic
ρ (Mg/m³): 5.1
Uncorrected formation energy (eV per formula unit): -13.53

Lattice parameters (Å, degrees): 4.424 7.513 7.818 71.06 90.00 90.00
Atoms (fractional coordinates):
Tl  0.500  0.500  0.000
S  0.000  0.738  0.725
Ba  0.500  0.000  0.500
Ba  0.000  0.000  0.000
Pr  0.000  0.500  0.500
S  0.500  0.271  0.725
S  0.500  0.729  0.275
S  0.000  0.262  0.275